No. 1
Computed, not measured: a geometry-optimized Ta2Cu3N6 structure at the PBE level of DFT.

Structure (POSCAR):
```
Ta2Cu3N6
1.0
-1.915 1.915 8.929
1.915 -1.915 8.929
1.915 1.915 -8.929
Ta Cu N
2 3 6
Direct
0.110 0.110 0.000 Ta
0.890 0.890 0.000 Ta
0.320 0.320 0.000 Cu
0.500 0.500 0.000 Cu
0.680 0.680 0.000 Cu
0.074 0.574 0.500 N
0.216 0.216 0.000 N
0.426 0.926 0.500 N
0.574 0.074 0.500 N
0.784 0.784 0.000 N
0.926 0.426 0.500 N
```

Output
* E: -7.263 eV/atom

***

No. 2
Computed, not measured: a geometry-optimized KDyNO structure at the PBE level of DFT.

Structure (POSCAR):
```
KDyNO
1.0
3.668 0.000 0.000
0.000 7.354 0.000
0.000 0.000 6.391
K Dy N O
2 2 2 2
Direct
0.000 0.161 0.000 K
0.000 0.839 0.500 K
0.500 0.335 0.491 Dy
0.500 0.665 0.991 Dy
0.500 0.393 0.835 N
0.500 0.607 0.335 N
0.000 0.193 0.422 O
0.000 0.807 0.922 O
```

Output
* E: -6.013 eV/atom

***

No. 3
Computed, not measured: a geometry-optimized Sr2YReN6 structure at the PBE level of DFT.

Structure (POSCAR):
```
Sr2YReN6
1.0
5.948 0.000 0.000
0.000 5.945 0.000
-5.897 0.000 8.389
Sr Y Re N
4 2 2 12
Direct
0.243 0.029 0.249 Sr
0.243 0.471 0.749 Sr
0.757 0.529 0.251 Sr
0.757 0.971 0.751 Sr
0.500 0.000 0.000 Y
0.500 0.500 0.500 Y
0.000 0.000 0.500 Re
0.000 0.500 0.000 Re
0.160 0.237 0.964 N
0.160 0.263 0.464 N
0.227 0.699 0.967 N
0.227 0.801 0.467 N
0.295 0.013 0.729 N
0.295 0.487 0.229 N
0.705 0.513 0.771 N
0.705 0.987 0.271 N
0.773 0.199 0.533 N
0.773 0.301 0.033 N
0.840 0.737 0.536 N
0.840 0.763 0.036 N
```

Output
* E: -7.375 eV/atom

***

No. 4
Computed, not measured: a geometry-optimized U3CdPt structure at the PBE level of DFT.

Structure (POSCAR):
```
U3CdPt
1.0
5.772 0.000 0.000
-2.886 4.999 0.000
0.000 0.000 8.282
U Cd Pt
6 2 2
Direct
0.000 0.476 0.151 U
0.000 0.524 0.849 U
0.476 0.000 0.151 U
0.476 0.476 0.849 U
0.524 0.000 0.849 U
0.524 0.524 0.151 U
0.333 0.667 0.500 Cd
0.667 0.333 0.500 Cd
0.000 0.000 0.179 Pt
0.000 0.000 0.821 Pt
```

Output
* E: -7.886 eV/atom